[1]
# Ti3Sn2Pd2 | the Alexandria database | PBE | relaxed
data_Ti3Sn2Pd2
_cell_length_a 3.159
_cell_length_b 20.241
_cell_length_c 8.251
_cell_angle_alpha 90.00
_cell_angle_beta 90.00
_cell_angle_gamma 90.00
_space_group_name_H-M_alt 'C m c m'
_space_group_IT_number 63
_space_group_name_Hall '-C 2c 2'
loop_
_atom_site_label
_atom_site_type_symbol
_atom_site_fract_x
_atom_site_fract_y
_atom_site_fract_z
Ti1 Ti 0.000 0.065 0.061
Ti2 Ti 0.000 0.319 0.250
Sn1 Sn 0.000 0.334 0.750
Sn2 Sn 0.000 0.463 0.250
Pd1 Pd 0.000 0.195 0.510
# - energy of formation from the pure elements (eV per atom) = -0.203

---

[2]
# PmGdBeZn | the Alexandria database | PBE | relaxed
data_PmGdBeZn
_cell_length_a 7.119
_cell_length_b 7.119
_cell_length_c 7.119
_cell_angle_alpha 90.00
_cell_angle_beta 90.00
_cell_angle_gamma 90.00
_space_group_name_H-M_alt 'F -4 3 m'
_space_group_IT_number 216
_space_group_name_Hall 'F -4 2 3'
loop_
_atom_site_label
_atom_site_type_symbol
_atom_site_fract_x
_atom_site_fract_y
_atom_site_fract_z
Pm1 Pm 0.000 0.000 0.000
Gd1 Gd 0.000 0.000 0.500
Be1 Be 0.250 0.250 0.750
Zn1 Zn 0.250 0.250 0.250
# - energy of formation from the pure elements (eV per atom) = -0.075

---

[3]
# LaIn2Ru | the Alexandria database | PBE | relaxed
data_LaIn2Ru
_cell_length_a 7.129
_cell_length_b 7.129
_cell_length_c 7.129
_cell_angle_alpha 90.00
_cell_angle_beta 90.00
_cell_angle_gamma 90.00
_space_group_name_H-M_alt 'F m -3 m'
_space_group_IT_number 225
_space_group_name_Hall '-F 4 2 3'
loop_
_atom_site_label
_atom_site_type_symbol
_atom_site_fract_x
_atom_site_fract_y
_atom_site_fract_z
La1 La 0.000 0.000 0.000
In1 In 0.250 0.250 0.250
Ru1 Ru 0.000 0.000 0.500
# - energy of formation from the pure elements (eV per atom) = -0.096

---

[4]
# Tb6Pm4Pr | the Alexandria database | PBE | relaxed
data_Tb6Pm4Pr
_cell_length_a 6.681
_cell_length_b 6.681
_cell_length_c 17.114
_cell_angle_alpha 90.00
_cell_angle_beta 90.00
_cell_angle_gamma 90.00
_space_group_name_H-M_alt 'I -4 2 m'
_space_group_IT_number 121
_space_group_name_Hall 'I -4 2'
loop_
_atom_site_label
_atom_site_type_symbol
_atom_site_fract_x
_atom_site_fract_y
_atom_site_fract_z
Tb1 Tb 0.000 0.500 0.000
Tb2 Tb 0.178 0.178 0.126
Pm1 Pm 0.190 0.190 0.324
Pr1 Pr 0.000 0.000 0.500
# - polymorph energy (0 for the lowest one) (meV per atom) = 155
# - energy of formation from the pure elements (eV per atom) = 0.309

---

[5]
# Pr2Zn7Pt | the Alexandria database | PBE | relaxed
data_Pr2Zn7Pt
_cell_length_a 4.292
_cell_length_b 4.292
_cell_length_c 10.509
_cell_angle_alpha 90.00
_cell_angle_beta 90.00
_cell_angle_gamma 90.00
_space_group_name_H-M_alt 'P -4 m 2'
_space_group_IT_number 115
_space_group_name_Hall 'P -4 -2'
loop_
_atom_site_label
_atom_site_type_symbol
_atom_site_fract_x
_atom_site_fract_y
_atom_site_fract_z
Pr1 Pr 0.000 0.500 0.249
Zn1 Zn 0.000 0.000 0.000
Zn2 Zn 0.000 0.000 0.500
Zn3 Zn 0.000 0.500 0.630
Zn4 Zn 0.000 0.500 0.866
Zn5 Zn 0.500 0.500 0.500
Pt1 Pt 0.500 0.500 0.000
# - energy of formation from the pure elements (eV per atom) = -0.404

---

[6]
# ZnPOs | the Alexandria database | PBE | relaxed
data_ZnPOs
_cell_length_a 5.621
_cell_length_b 5.621
_cell_length_c 5.621
_cell_angle_alpha 90.00
_cell_angle_beta 90.00
_cell_angle_gamma 90.00
_space_group_name_H-M_alt 'F -4 3 m'
_space_group_IT_number 216
_space_group_name_Hall 'F -4 2 3'
loop_
_atom_site_label
_atom_site_type_symbol
_atom_site_fract_x
_atom_site_fract_y
_atom_site_fract_z
Zn1 Zn 0.000 0.000 0.000
P1 P 0.250 0.250 0.750
Os1 Os 0.000 0.000 0.500
# - energy of formation from the pure elements (eV per atom) = 0.245

---

[7]
# Be3NO3 | the Alexandria database | PBE | relaxed
data_Be3NO3
_cell_length_a 4.6663
_cell_length_b 4.6663
_cell_length_c 26.0210
_cell_angle_alpha 90.00
_cell_angle_beta 90.00
_cell_angle_gamma 120.00
_space_group_name_H-M_alt 'R -3'
_space_group_IT_number 148
_space_group_name_Hall '-R 3'
loop_
_atom_site_label
_atom_site_type_symbol
_atom_site_fract_x
_atom_site_fract_y
_atom_site_fract_z
Be1 Be 0.9996 0.3328 0.0557
N1 N 0.0000 0.0000 0.1668
O1 O 0.0001 0.3330 0.6108
# - formation energy from raw total energies (eV/f.u.) = -10.5

---

[8]
# LiHf6Os5 | the Alexandria database | PBE | relaxed
data_LiHf6Os5
_cell_length_a 4.614
_cell_length_b 6.486
_cell_length_c 13.868
_cell_angle_alpha 90.00
_cell_angle_beta 90.00
_cell_angle_gamma 90.00
_space_group_name_H-M_alt 'I m m m'
_space_group_IT_number 71
_space_group_name_Hall '-I 2 2'
loop_
_atom_site_label
_atom_site_type_symbol
_atom_site_fract_x
_atom_site_fract_y
_atom_site_fract_z
Li1 Li 0.000 0.000 0.000
Hf1 Hf 0.000 0.250 0.167
Hf2 Hf 0.000 0.251 0.500
Os1 Os 0.000 0.000 0.333
Os2 Os 0.000 0.500 0.000
Os3 Os 0.000 0.500 0.334
# - energy of formation from the pure elements (eV per atom) = -0.607

---

[9]
# MgCo2Ru | the Alexandria database | PBE | relaxed
data_MgCo2Ru
_cell_length_a 3.658
_cell_length_b 3.658
_cell_length_c 7.642
_cell_angle_alpha 90.00
_cell_angle_beta 90.00
_cell_angle_gamma 90.00
_space_group_name_H-M_alt 'I -4 m 2'
_space_group_IT_number 119
_space_group_name_Hall 'I -4 -2'
loop_
_atom_site_label
_atom_site_type_symbol
_atom_site_fract_x
_atom_site_fract_y
_atom_site_fract_z
Mg1 Mg 0.000 0.000 0.000
Co1 Co 0.000 0.000 0.500
Co2 Co 0.000 0.500 0.250
Ru1 Ru 0.000 0.500 0.750
# - energy of formation from the pure elements (eV per atom) = 0.231

---

[10]
# SiCl | the Alexandria database | PBE | relaxed
data_SiCl
_cell_length_a 3.928
_cell_length_b 5.756
_cell_length_c 6.216
_cell_angle_alpha 89.60
_cell_angle_beta 72.50
_cell_angle_gamma 70.27
_space_group_name_H-M_alt 'P -1'
_space_group_IT_number 2
_space_group_name_Hall '-P 1'
loop_
_atom_site_label
_atom_site_type_symbol
_atom_site_fract_x
_atom_site_fract_y
_atom_site_fract_z
Si1 Si 0.191 0.115 0.005
Cl1 Cl 0.226 0.315 0.722
# - polymorph energy (0 for the lowest one) (meV per atom) = 371
# - formation energy from raw total energies (eV/f.u.) = -0.6

---

[11]
# Nd2SmY2 | the Alexandria database | PBE | relaxed
data_Nd2SmY2
_cell_length_a 9.584
_cell_length_b 6.012
_cell_length_c 6.368
_cell_angle_alpha 90.00
_cell_angle_beta 112.91
_cell_angle_gamma 90.00
_space_group_name_H-M_alt 'C 1 2/m 1'
_space_group_IT_number 12
_space_group_name_Hall '-C 2y'
loop_
_atom_site_label
_atom_site_type_symbol
_atom_site_fract_x
_atom_site_fract_y
_atom_site_fract_z
Nd1 Nd 0.101 0.000 0.304
Sm1 Sm 0.000 0.500 0.500
Y1 Y 0.199 0.500 0.093
# - polymorph energy (0 for the lowest one) (meV per atom) = 0
# - energy of formation from the pure elements (eV per atom) = 0.108

---

[12]
# Cs4AsAu3 | the Alexandria database | PBE | relaxed
data_Cs4AsAu3
_cell_length_a 4.798
_cell_length_b 5.472
_cell_length_c 12.830
_cell_angle_alpha 90.00
_cell_angle_beta 90.00
_cell_angle_gamma 90.00
_space_group_name_H-M_alt 'P m m 2'
_space_group_IT_number 25
_space_group_name_Hall 'P 2 -2'
loop_
_atom_site_label
_atom_site_type_symbol
_atom_site_fract_x
_atom_site_fract_y
_atom_site_fract_z
Cs1 Cs 0.000 0.000 0.000
Cs2 Cs 0.000 0.500 0.495
Cs3 Cs 0.500 0.000 0.289
Cs4 Cs 0.500 0.500 0.784
As1 As 0.500 0.000 0.604
Au1 Au 0.000 0.000 0.670
Au2 Au 0.000 0.500 0.205
Au3 Au 0.500 0.500 0.076
# - energy of formation from the pure elements (eV per atom) = -0.368

---

What did the twelfth record say?
# Cs4AsAu3 | the Alexandria database | PBE | relaxed
data_Cs4AsAu3
_cell_length_a 4.798
_cell_length_b 5.472
_cell_length_c 12.830
_cell_angle_alpha 90.00
_cell_angle_beta 90.00
_cell_angle_gamma 90.00
_space_group_name_H-M_alt 'P m m 2'
_space_group_IT_number 25
_space_group_name_Hall 'P 2 -2'
loop_
_atom_site_label
_atom_site_type_symbol
_atom_site_fract_x
_atom_site_fract_y
_atom_site_fract_z
Cs1 Cs 0.000 0.000 0.000
Cs2 Cs 0.000 0.500 0.495
Cs3 Cs 0.500 0.000 0.289
Cs4 Cs 0.500 0.500 0.784
As1 As 0.500 0.000 0.604
Au1 Au 0.000 0.000 0.670
Au2 Au 0.000 0.500 0.205
Au3 Au 0.500 0.500 0.076
# - energy of formation from the pure elements (eV per atom) = -0.368

---

What is the formula in the fifth record?
Pr2Zn7Pt